Compound: LiCuSi2
Source: Alexandria via LeMat-Bulk
Functional: PBE
Structure: relaxed

a b c (Å): 3.3303 3.3303 4.8922
angles (deg): 90.00 90.00 90.00
With the nearest neighbours (Å) after each atom.
Fractional positions:
Li: 0.0000 0.0000 0.0000  6 Si 2.42-2.69, 4 Cu 2.64
Cu: 0.5000 0.5000 0.7579  6 Si 2.41-2.68, 4 Li 2.64
Si: 0.0000 0.0000 0.4951  2 Li 2.42-2.47, 4 Si 2.61, 4 Cu 2.68
Si: 0.5000 0.5000 0.2655  2 Cu 2.41-2.48, 4 Si 2.61, 4 Li 2.69

ΔE_f (raw) in eV per atom: 0.013
Total DFT energy (no corrections) in eV/atom: -4.201
Excess energy over the best structure of this formula in the dataset in meV/atom: 51
Crystal system: tetragonal
Space group: P4mm

***

Compound: LiCuSi2
Source: Alexandria via LeMat-Bulk
Functional: PBE
Structure: relaxed

a b c (Å): 2.6356 4.0576 5.1963
angles (deg): 90.00 90.00 90.00
With the nearest neighbours (Å) after each atom.
Fractional positions:
Li: 0.0000 0.0000 0.0000  2 Li 2.64, 8 Si 2.73, 4 Cu 2.91
Cu: 0.5000 0.0000 0.5000  4 Si 2.42, 2 Cu 2.64
Si: 0.5000 0.5000 0.2447  2 Cu 2.42, 4 Si 2.54-2.65
Si: 0.5000 0.5000 0.7553  2 Cu 2.42, 4 Si 2.54-2.65

ΔE_f (raw) in eV per atom: -0.038
Total DFT energy (no corrections) in eV/atom: -4.252
Excess energy over the best structure of this formula in the dataset in meV/atom: 0
Crystal system: orthorhombic
Space group: Pmmm

***

Compound: LiCu4Si
Source: Alexandria via LeMat-Bulk
Functional: PBE
Structure: relaxed

a b c (Å): 4.8122 4.8122 4.8122
angles (deg): 60.00 60.00 60.00
With the nearest neighbours (Å) after each atom.
Fractional positions:
Li: 0.0000 0.0000 0.0000  12 Cu 2.82, 4 Si 2.95
Cu: 0.1251 0.6250 0.6250  6 Cu 2.41
Cu: 0.6250 0.1251 0.6250  6 Cu 2.41
Cu: 0.6250 0.6250 0.1251  6 Cu 2.41
Cu: 0.6250 0.6250 0.6250  6 Cu 2.41
Si: 0.2500 0.2500 0.2500  12 Cu 2.82, 4 Li 2.95

ΔE_f (raw) in eV per atom: 0.023
Total DFT energy (no corrections) in eV/atom: -3.931
Excess energy over the best structure of this formula in the dataset in meV/atom: 77
Crystal system: cubic
Space group: F-43m

***

Compound: LiCuSi
Source: Alexandria via LeMat-Bulk
Functional: PBE
Structure: relaxed

a b c (Å): 4.0533 4.0533 6.8125
angles (deg): 90.00 90.00 59.95
With the nearest neighbours (Å) after each atom.
Fractional positions:
Li: 0.0000 0.0000 0.0000  3 Si 2.49, 3 Cu 2.74-2.75
Li: 0.0000 0.0000 0.4190  3 Si 2.49, 3 Cu 2.73-2.74
Cu: 0.3341 0.3341 0.7110  6 Si 2.59-2.60
Cu: 0.6676 0.6676 0.2102  2 Si 2.29
Si: 0.6669 0.6669 0.5459  1 Si 2.24, 1 Cu 2.29, 3 Li 2.49
Si: 0.6669 0.6669 0.8743  1 Si 2.24, 1 Cu 2.29, 3 Li 2.49

ΔE_f (raw) in eV per atom: 0.117
Total DFT energy (no corrections) in eV/atom: -3.694
Crystal system: monoclinic
Space group: Cm

***

Compound: LiCu5Si2
Source: Alexandria via LeMat-Bulk
Functional: PBE
Structure: relaxed

a b c (Å): 6.3436 6.3436 6.3436
angles (deg): 155.39 103.95 81.36
With the nearest neighbours (Å) after each atom.
Fractional positions:
Li: 0.0000 0.0000 0.0000  2 Li 2.70, 4 Si 2.74, 8 Cu 2.82
Cu: 0.1369 0.3664 0.7704  3 Si 2.38-2.52, 5 Cu 2.57-2.64
Cu: 0.4040 0.6336 0.7704  3 Si 2.38-2.52, 5 Cu 2.57-2.64
Cu: 0.5000 0.0000 0.5000  2 Si 2.43, 10 Cu 2.59-2.70
Cu: 0.5960 0.3664 0.2296  3 Si 2.38-2.52, 5 Cu 2.57-2.64
Cu: 0.8631 0.6336 0.2296  3 Si 2.38-2.52, 5 Cu 2.57-2.64
Si: 0.2478 0.7478 0.5000  7 Cu 2.38-2.52
Si: 0.7522 0.2522 0.5000  7 Cu 2.38-2.52

ΔE_f (raw) in eV per atom: -0.078
Total DFT energy (no corrections) in eV/atom: -4.233
Excess energy over the best structure of this formula in the dataset in meV/atom: 0
Crystal system: orthorhombic
Space group: Immm

***

Compound: Li6Cu2Si
Source: Alexandria via LeMat-Bulk
Functional: PBE
Structure: relaxed

a b c (Å): 5.0038 5.0038 5.0038
angles (deg): 97.30 97.30 97.30
With the nearest neighbours (Å) after each atom.
Fractional positions:
Li: 0.0000 0.3348 0.6652  5 Li 2.48-2.52
Li: 0.0000 0.6652 0.3348  5 Li 2.48-2.52
Li: 0.3348 0.0000 0.6652  5 Li 2.48-2.52
Li: 0.3348 0.6652 0.0000  5 Li 2.48-2.52
Li: 0.6652 0.0000 0.3348  5 Li 2.48-2.52
Li: 0.6652 0.3348 0.0000  5 Li 2.48-2.52
Cu: 0.1677 0.1677 0.1677  1 Si 2.49, 1 Cu 2.51
Cu: 0.8323 0.8323 0.8323  1 Si 2.49, 1 Cu 2.51
Si: 0.5000 0.5000 0.5000  2 Cu 2.49

ΔE_f (raw) in eV per atom: -0.120
Total DFT energy (no corrections) in eV/atom: -2.909
Crystal system: trigonal
Space group: R-3m

***

Compound: Li4CuSi
Source: Alexandria via LeMat-Bulk
Functional: PBE
Structure: relaxed

a b c (Å): 7.9171 7.9171 4.3662
angles (deg): 90.00 90.00 143.91
With the nearest neighbours (Å) after each atom.
Fractional positions:
Li: 0.0391 0.4553 0.2500  5 Li 2.42-2.52
Li: 0.1981 0.2823 0.2500  5 Li 2.36-2.55
Li: 0.2823 0.1981 0.7500  5 Li 2.36-2.55
Li: 0.4553 0.0391 0.7500  5 Li 2.42-2.52
Li: 0.5447 0.9609 0.2500  5 Li 2.42-2.52
Li: 0.7177 0.8019 0.2500  5 Li 2.36-2.55
Li: 0.8019 0.7177 0.7500  5 Li 2.36-2.55
Li: 0.9609 0.5447 0.7500  5 Li 2.42-2.52
Cu: 0.3801 0.6199 0.7500  2 Si 2.46
Cu: 0.6199 0.3801 0.2500  2 Si 2.46
Si: 0.1291 0.8709 0.2500  2 Cu 2.46, 2 Li 2.75
Si: 0.8709 0.1291 0.7500  2 Cu 2.46, 2 Li 2.75

ΔE_f (raw) in eV per atom: -0.186
Total DFT energy (no corrections) in eV/atom: -3.049
Excess energy over the best structure of this formula in the dataset in meV/atom: 0
Crystal system: orthorhombic
Space group: Cmcm

***

Compound: LiCu4Si2
Source: Alexandria via LeMat-Bulk
Functional: PBE
Structure: relaxed

a b c (Å): 9.0236 9.0236 9.0236
angles (deg): 157.71 157.71 31.73
With the nearest neighbours (Å) after each atom.
Fractional positions:
Li: 0.0000 0.0000 0.0000  2 Cu 2.48
Cu: 0.1427 0.1427 0.0000  4 Si 2.47, 1 Li 2.48, 4 Cu 2.55
Cu: 0.2500 0.7500 0.5000  8 Cu 2.47-2.55, 4 Si 2.68
Cu: 0.7500 0.2500 0.5000  8 Cu 2.47-2.55, 4 Si 2.68
Cu: 0.8573 0.8573 0.0000  4 Si 2.47, 1 Li 2.48, 4 Cu 2.55
Si: 0.3669 0.3669 0.0000  8 Cu 2.47-2.68
Si: 0.6331 0.6331 0.0000  8 Cu 2.47-2.68

ΔE_f (raw) in eV per atom: 0.120
Total DFT energy (no corrections) in eV/atom: -4.043
Crystal system: tetragonal
Space group: I4/mmm

***

Compound: Li2Cu3Si2
Source: Alexandria via LeMat-Bulk
Functional: PBE
Structure: relaxed

a b c (Å): 5.2580 5.2580 7.4941
angles (deg): 112.42 112.42 30.35
With the nearest neighbours (Å) after each atom.
Fractional positions:
Li: 0.1145 0.1145 0.2902  3 Si 2.65-2.83, 6 Cu 2.68-2.77, 2 Li 2.75
Li: 0.8855 0.8855 0.7098  3 Si 2.65-2.83, 6 Cu 2.68-2.77, 2 Li 2.75
Cu: 0.3812 0.3812 0.0279  3 Si 2.38-2.46, 1 Cu 2.60
Cu: 0.5000 0.5000 0.5000  4 Si 2.36
Cu: 0.6188 0.6188 0.9721  3 Si 2.38-2.46, 1 Cu 2.60
Si: 0.1707 0.1707 0.7349  5 Cu 2.36-2.46
Si: 0.8293 0.8293 0.2651  5 Cu 2.36-2.46

ΔE_f (raw) in eV per atom: -0.107
Total DFT energy (no corrections) in eV/atom: -3.959
Crystal system: monoclinic
Space group: C2/m

***

Compound: LiCu2Si
Source: Alexandria via LeMat-Bulk
Functional: PBE
Structure: relaxed

a b c (Å): 2.5629 3.6786 5.2690
angles (deg): 90.00 90.00 90.00
With the nearest neighbours (Å) after each atom.
Fractional positions:
Li: 0.0000 0.0000 0.0000  2 Li 2.56, 8 Cu 2.61, 2 Si 2.63
Cu: 0.5000 0.5000 0.2544  4 Cu 2.56-2.68, 4 Si 2.59, 4 Li 2.61
Cu: 0.5000 0.5000 0.7456  4 Cu 2.56-2.68, 4 Si 2.59, 4 Li 2.61
Si: 0.0000 0.0000 0.5000  2 Si 2.56, 8 Cu 2.59, 2 Li 2.63

ΔE_f (raw) in eV per atom: -0.054
Total DFT energy (no corrections) in eV/atom: -3.936
Crystal system: orthorhombic
Space group: Pmmm

***

Compound: Li2Cu5Si4
Source: Alexandria via LeMat-Bulk
Functional: PBE
Structure: relaxed

a b c (Å): 8.8061 8.0729 4.9481
angles (deg): 81.28 64.98 33.74
With the nearest neighbours (Å) after each atom.
Fractional positions:
Li: 0.1094 0.1094 0.8906  6 Si 2.81-2.98, 6 Cu 2.98-2.99
Li: 0.8906 0.8906 0.1094  6 Si 2.81-2.98, 6 Cu 2.98-2.99
Cu: 0.0000 0.0000 0.5000  4 Cu 2.46-2.47, 4 Si 2.47
Cu: 0.2500 0.2500 0.2500  4 Si 2.38, 2 Cu 2.46
Cu: 0.5000 0.5000 0.0000  4 Cu 2.46-2.47, 4 Si 2.47
Cu: 0.5000 0.5000 0.5000  4 Si 2.38, 4 Cu 2.47
Cu: 0.7500 0.7500 0.7500  4 Si 2.38, 2 Cu 2.46
Si: 0.2164 0.5262 0.4738  5 Cu 2.38-2.47, 1 Si 2.66
Si: 0.4738 0.7836 0.2164  5 Cu 2.38-2.47, 1 Si 2.66
Si: 0.5262 0.2164 0.7836  5 Cu 2.38-2.47, 1 Si 2.66
Si: 0.7836 0.4738 0.5262  5 Cu 2.38-2.47, 1 Si 2.66

ΔE_f (raw) in eV per atom: -0.049
Total DFT energy (no corrections) in eV/atom: -4.231
Crystal system: orthorhombic
Space group: Fmmm

***

Compound: LiCuSi
Source: Alexandria via LeMat-Bulk
Functional: PBE
Structure: relaxed

a b c (Å): 5.4413 5.4413 3.7995
angles (deg): 90.00 90.00 137.90
With the nearest neighbours (Å) after each atom.
Fractional positions:
Li: 0.0811 0.9189 0.7500  4 Cu 2.45-2.71, 2 Li 2.52, 6 Si 2.62-2.73
Li: 0.9189 0.0811 0.2500  4 Cu 2.45-2.71, 2 Li 2.52, 6 Si 2.62-2.73
Cu: 0.2334 0.7666 0.2500  4 Si 2.43-2.60, 4 Li 2.45-2.71
Cu: 0.7666 0.2334 0.7500  4 Si 2.43-2.60, 4 Li 2.45-2.71
Si: 0.4087 0.5913 0.7500  4 Cu 2.43-2.60, 2 Li 2.62, 2 Si 2.66
Si: 0.5913 0.4087 0.2500  4 Cu 2.43-2.60, 2 Li 2.62, 2 Si 2.66

ΔE_f (raw) in eV per atom: -0.158
Total DFT energy (no corrections) in eV/atom: -3.969
Crystal system: orthorhombic
Space group: Cmcm